The following is a DFT calculation (GGA-PBE) of crystalline TbCdRhAu at its relaxed geometry.

```
data_TbCdRhAu
_chemical_formula_sum 'Tb4 Cd4 Rh4 Au4'
_cell_length_a 6.836
_cell_length_b 6.836
_cell_length_c 6.836
_cell_angle_alpha 90.00
_cell_angle_beta 90.00
_cell_angle_gamma 90.00
_symmetry_space_group_name_H-M 'F -4 3 m'
_symmetry_Int_Tables_number 216
_symmetry_space_group_name_Hall 'F -4 2 3'
loop_
_atom_site_label
_atom_site_type_symbol
_atom_site_fract_x
_atom_site_fract_y
_atom_site_fract_z
Tb1 Tb 0.000 0.000 0.000
Cd1 Cd 0.000 0.000 0.500
Rh1 Rh 0.250 0.250 0.250
Au1 Au 0.250 0.250 0.750
```

Properties
**Calculated total energy**: -73.5 eV per cell
**E_form**: -213 kJ/mol of formula units



The following is a DFT calculation (GGA-PBE) of crystalline Zr6Si2Pb at its relaxed geometry.

```
data_Zr6Si2Pb
_chemical_formula_sum 'Zr24 Si8 Pb4'
_cell_length_a 8.629
_cell_length_b 8.634
_cell_length_c 10.181
_cell_angle_alpha 90.00
_cell_angle_beta 90.00
_cell_angle_gamma 90.00
_symmetry_space_group_name_H-M 'I m m m'
_symmetry_Int_Tables_number 71
_symmetry_space_group_name_Hall '-I 2 2'
loop_
_atom_site_label
_atom_site_type_symbol
_atom_site_fract_x
_atom_site_fract_y
_atom_site_fract_z
Zr1 Zr 0.000 0.214 0.247
Zr2 Zr 0.203 0.500 0.179
Zr3 Zr 0.208 0.300 0.500
Si1 Si 0.000 0.357 0.000
Si2 Si 0.000 0.500 0.379
Pb1 Pb 0.000 0.000 0.000
Pb2 Pb 0.000 0.000 0.500
```

Properties
**Calculated total energy**: -282.0 eV per cell



The following is a DFT calculation (GGA-PBE) of crystalline KOsW at its relaxed geometry.

```
data_KOsW
_chemical_formula_sum 'K2 Os2 W2'
_cell_length_a 3.129
_cell_length_b 3.129
_cell_length_c 14.399
_cell_angle_alpha 90.00
_cell_angle_beta 90.00
_cell_angle_gamma 90.00
_symmetry_space_group_name_H-M 'I 4 m m'
_symmetry_Int_Tables_number 107
_symmetry_space_group_name_Hall 'I 4 -2'
loop_
_atom_site_label
_atom_site_type_symbol
_atom_site_fract_x
_atom_site_fract_y
_atom_site_fract_z
K1 K 0.000 0.000 0.000
Os1 Os 0.000 0.000 0.692
W1 W 0.000 0.000 0.278
```

Properties
**Calculated total energy**: -44.8 eV per cell
**E_form**: 276 kJ/mol of formula units
**Relative energy among the computed polymorphs**: 0.28 kcal/mol of atoms



no.,total magnetization (Bohr magnetons per cell),D(E_F) (states/eV/cell)
1,0.00,8.1
2,0.00,34.0
3,0.00,7.7